Material: HfSn3Sb
Method: DFT, PBE
State: optimized geometry

Raw formation energy (meV per atom): 1124
Total energy (Ry per atom): -0.3008
Crystal system: cubic
Polymorph energy (0 for the lowest one) (eV/f.u.): 3.08

Cell lengths 5.555, 5.555, 5.555 Å; angles 90.00, 90.00, 90.00 degrees
Positions (direct):
Sb (0.000, 0.000, 0.000)
Hf (0.500, 0.500, 0.500)
Sn (0.000, 0.500, 0.000)
Sn (0.000, 0.000, 0.500)
Sn (0.500, 0.000, 0.000)